The following is a DFT calculation (PBE with a Hubbard U) of crystalline Li2MgMn3O8 at its relaxed geometry.

density: 3.79 g/cm3
polymorph energy (0 for the lowest one): 19 meV/atom
total magnetic moment: 26.8 μB per cell

Unit cell a=5.8421 b=5.8421 c=14.7114 alpha=90.00 beta=90.00 gamma=120.00
Space group R-3m (No. 166, hexagonal axes)
Asymmetric unit:
Li: 0.0000 0.0000 0.1148 (multiplicity 6)
Mg: 0.0000 0.0000 0.5000 (multiplicity 3)
Mn: 0.0000 0.5000 0.0000 (multiplicity 9)
O: 0.0000 0.0000 0.2631 (multiplicity 6)
O: 0.0303 0.5152 0.2613 (multiplicity 18)